# 1
Crystalline Tb4PmSc2 at its relaxed geometry. Source: Alexandria via LeMat-Bulk, functional PBE-GGA.

abc: 6.880 6.880 10.666
angles: 90.02 90.02 121.87
Fractional positions:
Tb: 0.214 0.786 0.552
Tb: 0.214 0.786 0.948
Tb: 0.279 0.279 0.000
Tb: 0.279 0.279 0.500
Tb: 0.721 0.721 0.000
Tb: 0.721 0.721 0.500
Tb: 0.786 0.214 0.052
Tb: 0.786 0.214 0.448
Pm: 0.317 0.683 0.250
Pm: 0.683 0.317 0.750
Sc: 0.036 0.964 0.250
Sc: 0.402 0.598 0.750
Sc: 0.598 0.402 0.250
Sc: 0.964 0.036 0.750

Values from the calculation:
final energy = -69.0 eV for the cell shown
DOS(E_F) = 9.157 states/eV/f.u.
space group = C2/c (15)
calculated volume = 30.63 Å³ per atom

---

# 2
Crystalline Tb12Pm3Sc at its relaxed geometry. Source: Alexandria via LeMat-Bulk, functional PBE-GGA.

abc: 5.039 5.039 20.105
angles: 90.00 90.00 90.00
Fractional positions:
Tb: 0.000 0.000 0.000
Tb: 0.000 0.000 0.246
Tb: 0.000 0.000 0.500
Tb: 0.000 0.000 0.754
Tb: 0.000 0.500 0.120
Tb: 0.000 0.500 0.373
Tb: 0.000 0.500 0.627
Tb: 0.000 0.500 0.880
Tb: 0.500 0.000 0.120
Tb: 0.500 0.000 0.373
Tb: 0.500 0.000 0.627
Tb: 0.500 0.000 0.880
Pm: 0.500 0.500 0.247
Pm: 0.500 0.500 0.500
Pm: 0.500 0.500 0.753
Sc: 0.500 0.500 0.000

Values from the calculation:
final energy = -75.8 eV for the cell shown
DOS(E_F) = 22.587 states/eV/f.u.
space group = P4/mmm (123)
calculated volume = 31.91 Å³ per atom

---

# 3
Crystalline Tb4Pm10Sc at its relaxed geometry. Source: Alexandria via LeMat-Bulk, functional PBE-GGA.

abc: 8.709 8.709 8.709
angles: 111.23 111.23 106.00
Fractional positions:
Tb: 0.058 0.324 0.382
Tb: 0.324 0.942 0.266
Tb: 0.676 0.058 0.734
Tb: 0.942 0.676 0.618
Pm: 0.129 0.453 0.904
Pm: 0.225 0.129 0.676
Pm: 0.250 0.750 0.500
Pm: 0.451 0.775 0.904
Pm: 0.453 0.549 0.324
Pm: 0.547 0.451 0.676
Pm: 0.549 0.225 0.096
Pm: 0.750 0.250 0.500
Pm: 0.775 0.871 0.324
Pm: 0.871 0.547 0.096
Sc: 0.000 0.000 0.000

Values from the calculation:
final energy = -67.3 eV for the cell shown
DOS(E_F) = 20.655 states/eV/f.u.
space group = I4/m (87)
calculated volume = 33.80 Å³ per atom

---

# 4
Crystalline TbPm4Sc at its relaxed geometry. Source: Alexandria via LeMat-Bulk, functional PBE-GGA.

abc: 8.286 8.286 8.286
angles: 122.56 117.45 90.05
Fractional positions:
Tb: 0.500 0.000 0.000
Tb: 0.500 0.500 0.500
Pm: 0.172 0.728 0.444
Pm: 0.216 0.272 0.944
Pm: 0.224 0.264 0.541
Pm: 0.224 0.683 0.959
Pm: 0.776 0.317 0.041
Pm: 0.776 0.736 0.459
Pm: 0.784 0.728 0.056
Pm: 0.828 0.272 0.556
Sc: 0.000 0.000 0.000
Sc: 0.500 0.000 0.500

Values from the calculation:
final energy = -55.6 eV for the cell shown
DOS(E_F) = 7.682 states/eV/f.u.
space group = Imma (74)
calculated volume = 33.44 Å³ per atom

---

# 5
Crystalline Tb5PmSc4 at its relaxed geometry. Source: Alexandria via LeMat-Bulk, functional PBE-GGA.

abc: 7.615 7.615 7.615
angles: 99.51 99.51 132.04
Fractional positions:
Tb: 0.000 0.000 0.000
Tb: 0.482 0.580 0.607
Tb: 0.580 0.974 0.099
Tb: 0.875 0.482 0.901
Tb: 0.974 0.875 0.393
Pm: 0.455 0.455 0.000
Sc: 0.169 0.585 0.301
Sc: 0.283 0.868 0.699
Sc: 0.585 0.283 0.416
Sc: 0.868 0.169 0.584

Values from the calculation:
final energy = -49.9 eV for the cell shown
DOS(E_F) = 15.964 states/eV/f.u.
space group = I4 (79)
calculated volume = 29.96 Å³ per atom

---

# 6
Crystalline TbPm7Sc2 at its relaxed geometry. Source: Alexandria via LeMat-Bulk, functional PBE-GGA.

abc: 3.529 8.594 11.470
angles: 108.77 90.05 101.83
Fractional positions:
Tb: 0.000 0.000 0.000
Pm: 0.000 0.000 0.500
Pm: 0.108 0.217 0.803
Pm: 0.287 0.574 0.375
Pm: 0.413 0.825 0.711
Pm: 0.587 0.175 0.289
Pm: 0.713 0.426 0.625
Pm: 0.892 0.783 0.197
Sc: 0.307 0.617 0.927
Sc: 0.693 0.383 0.073

Values from the calculation:
final energy = -50.0 eV for the cell shown
DOS(E_F) = 13.950 states/eV/f.u.
space group = P-1 (2)
calculated volume = 32.15 Å³ per atom

---

# 7
Crystalline Tb5PmSc4 at its relaxed geometry. Source: Alexandria via LeMat-Bulk, functional PBE-GGA.

abc: 10.173 11.191 5.395
angles: 90.00 90.00 90.00
Fractional positions:
Tb: 0.051 0.048 0.250
Tb: 0.051 0.452 0.250
Tb: 0.250 0.750 0.749
Tb: 0.449 0.048 0.250
Tb: 0.449 0.452 0.250
Tb: 0.551 0.548 0.750
Tb: 0.551 0.952 0.750
Tb: 0.750 0.250 0.251
Tb: 0.949 0.548 0.750
Tb: 0.949 0.952 0.750
Pm: 0.250 0.250 0.250
Pm: 0.750 0.750 0.750
Sc: 0.005 0.250 0.750
Sc: 0.250 0.058 0.750
Sc: 0.250 0.442 0.750
Sc: 0.495 0.250 0.750
Sc: 0.505 0.750 0.250
Sc: 0.750 0.558 0.250
Sc: 0.750 0.942 0.250
Sc: 0.995 0.750 0.250

Values from the calculation:
final energy = -100.9 eV for the cell shown
DOS(E_F) = 16.589 states/eV/f.u.
space group = Pmmn (59)
calculated volume = 30.71 Å³ per atom

---

# 8
Crystalline Tb3Pm2Sc at its relaxed geometry. Source: Alexandria via LeMat-Bulk, functional PBE-GGA.

abc: 6.127 7.910 8.679
angles: 111.42 90.24 104.79
Fractional positions:
Tb: 0.040 0.368 0.286
Tb: 0.291 0.622 0.041
Tb: 0.375 0.377 0.628
Tb: 0.625 0.623 0.372
Tb: 0.709 0.378 0.959
Tb: 0.960 0.632 0.714
Pm: 0.204 0.875 0.459
Pm: 0.452 0.121 0.204
Pm: 0.548 0.879 0.796
Pm: 0.796 0.125 0.541
Sc: 0.125 0.127 0.879
Sc: 0.875 0.873 0.121

Values from the calculation:
final energy = -59.0 eV for the cell shown
DOS(E_F) = 8.221 states/eV/f.u.
space group = P-1 (2)
calculated volume = 31.36 Å³ per atom

---

# 9
Crystalline Tb4Pm4Sc at its relaxed geometry. Source: Alexandria via LeMat-Bulk, functional PBE-GGA.

abc: 6.868 6.868 8.308
angles: 110.68 110.68 56.28
Fractional positions:
Tb: 0.000 0.000 0.000
Tb: 0.300 0.630 0.299
Tb: 0.370 0.700 0.701
Tb: 0.870 0.130 0.500
Pm: 0.000 0.468 0.877
Pm: 0.460 0.084 0.596
Pm: 0.532 0.000 0.123
Pm: 0.916 0.540 0.404
Sc: 0.532 0.468 0.000

Values from the calculation:
final energy = -42.4 eV for the cell shown
DOS(E_F) = 12.594 states/eV/f.u.
space group = C2 (5)
calculated volume = 33.18 Å³ per atom

---

# 10
Crystalline TbPm4Sc at its relaxed geometry. Source: Alexandria via LeMat-Bulk, functional PBE-GGA.

abc: 6.175 6.175 6.183
angles: 99.51 99.51 119.88
Fractional positions:
Tb: 0.000 0.000 0.000
Pm: 0.167 0.833 0.500
Pm: 0.337 0.663 0.000
Pm: 0.663 0.337 0.000
Pm: 0.833 0.167 0.500
Sc: 0.500 0.500 0.500

Values from the calculation:
final energy = -29.8 eV for the cell shown
DOS(E_F) = 8.172 states/eV/f.u.
space group = C2/m (12)
calculated volume = 32.16 Å³ per atom

---

# 11
Crystalline TbPm2Sc3 at its relaxed geometry. Source: Alexandria via LeMat-Bulk, functional PBE-GGA.

abc: 6.685 6.685 9.272
angles: 90.00 90.00 120.00
Fractional positions:
Tb: 0.333 0.667 0.422
Tb: 0.667 0.333 0.578
Pm: 0.000 0.000 0.000
Pm: 0.000 0.000 0.500
Pm: 0.333 0.667 0.063
Pm: 0.667 0.333 0.937
Sc: 0.187 0.374 0.741
Sc: 0.187 0.813 0.741
Sc: 0.374 0.187 0.259
Sc: 0.626 0.813 0.741
Sc: 0.813 0.187 0.259
Sc: 0.813 0.626 0.259

Values from the calculation:
final energy = -63.1 eV for the cell shown
DOS(E_F) = 12.093 states/eV/f.u.
space group = P-3m1 (164)
calculated volume = 29.91 Å³ per atom

---

# 12
Crystalline TbPm8Sc2 at its relaxed geometry. Source: Alexandria via LeMat-Bulk, functional PBE-GGA.

abc: 9.231 9.231 5.877
angles: 105.10 105.10 121.63
Fractional positions:
Tb: 0.000 0.000 0.000
Pm: 0.097 0.336 0.672
Pm: 0.208 0.792 0.000
Pm: 0.336 0.097 0.672
Pm: 0.421 0.421 0.206
Pm: 0.579 0.579 0.794
Pm: 0.664 0.903 0.328
Pm: 0.792 0.208 0.000
Pm: 0.903 0.664 0.328
Sc: 0.310 0.690 0.500
Sc: 0.690 0.310 0.500

Values from the calculation:
final energy = -53.6 eV for the cell shown
DOS(E_F) = 14.777 states/eV/f.u.
space group = C2/m (12)
calculated volume = 32.77 Å³ per atom